This record from OQMD via LeMat-Bulk describes a relaxed LaCdAu2 crystal. The functional is GGA-PBE.

Values from the calculation:
**Total DFT energy (no corrections)**: -3.646 eV per atom
**Crystal system**: tetragonal
**Formation enthalpy at 0 K**: -559 meV per atom

a = 3.600 Å, b = 3.600 Å, c = 7.139 Å
α = 90.00°, β = 90.00°, γ = 90.00°
Positions (direct):
La (0.000, 0.000, 0.500)
Au (0.500, 0.500, 0.227)
Au (0.500, 0.500, 0.773)
Cd (0.000, 0.000, 0.000)

***

This record from OQMD via LeMat-Bulk describes a relaxed LaCdAu crystal. The functional is GGA-PBE.

Values from the calculation:
**Total DFT energy (no corrections)**: -3.588 eV per atom
**Crystal system**: cubic
**Formation enthalpy at 0 K**: -560 meV per atom

a = 4.959 Å, b = 4.959 Å, c = 4.959 Å
α = 60.00°, β = 60.00°, γ = 60.00°
Positions (direct):
Au (0.000, 0.000, 0.000)
Cd (0.250, 0.250, 0.250)
La (0.750, 0.750, 0.750)

***

This record from OQMD via LeMat-Bulk describes a relaxed LaCdAu2 crystal. The functional is GGA-PBE.

Values from the calculation:
**Total DFT energy (no corrections)**: -3.601 eV per atom
**Crystal system**: tetragonal
**Formation enthalpy at 0 K**: -513 meV per atom

a = 4.886 Å, b = 4.886 Å, c = 4.035 Å
α = 90.00°, β = 90.00°, γ = 90.00°
Positions (direct):
La (0.500, 0.500, 0.000)
Au (0.000, 0.500, 0.500)
Au (0.500, 0.000, 0.500)
Cd (0.000, 0.000, 0.000)

***

This record from OQMD via LeMat-Bulk describes a relaxed LaCdAu crystal. The functional is GGA-PBE.

Values from the calculation:
**Total DFT energy (no corrections)**: -3.500 eV per atom
**Crystal system**: hexagonal
**Formation enthalpy at 0 K**: -472 meV per atom

a = 7.592 Å, b = 7.592 Å, c = 4.578 Å
α = 90.00°, β = 90.00°, γ = 120.00°
Positions (direct):
Cd (0.000, 0.000, 0.500)
Au (0.000, 0.247, 0.000)
La (0.430, 0.430, 0.500)
La (0.570, 0.000, 0.500)
Cd (0.667, 0.333, 0.000)
Cd (0.333, 0.667, 0.000)
Au (0.753, 0.753, 0.000)
Au (0.247, 0.000, 0.000)
La (0.000, 0.570, 0.500)

***

Copy entry 3 word for word.
This record from OQMD via LeMat-Bulk describes a relaxed LaCdAu2 crystal. The functional is GGA-PBE.

Values from the calculation:
**Total DFT energy (no corrections)**: -3.601 eV per atom
**Crystal system**: tetragonal
**Formation enthalpy at 0 K**: -513 meV per atom

a = 4.886 Å, b = 4.886 Å, c = 4.035 Å
α = 90.00°, β = 90.00°, γ = 90.00°
Positions (direct):
La (0.500, 0.500, 0.000)
Au (0.000, 0.500, 0.500)
Au (0.500, 0.000, 0.500)
Cd (0.000, 0.000, 0.000)